TiCoGePt: relaxed, PBE.

Computed properties:
* volume: 229 Å³ per cell
* total energy: -6.8530 eV/atom
* DOS at the Fermi energy: 1.19 states/eV/atom

Cell: 6.1191 6.1191 6.1191 Å, 90.00 90.00 90.00°
Space group F-43m (No. 216)
Inequivalent atoms, fractional coordinates:
Ti1 0.0000 0.0000 0.0000 x4
Co1 0.2500 0.2500 0.2500 x4
Ge1 0.0000 0.0000 0.5000 x4
Pt1 0.2500 0.2500 0.7500 x4

---

UCo2Ge2Pt: relaxed, PBE.

Computed properties:
* volume: 93 Å³ per cell
* total energy: -7.1390 eV/atom
* DOS at the Fermi energy: 0.74 states/eV/atom

Cell: 4.1061 4.1061 6.3531 Å, 90.00 90.00 120.00°
Space group P-3m1 (No. 164)
Inequivalent atoms, fractional coordinates:
U1 0.0000 0.0000 0.0000 x1
Co1 0.3333 0.6667 0.2702 x2
Ge1 0.3333 0.6667 0.7037 x2
Pt1 0.0000 0.0000 0.5000 x1

---

U2CoGe4Pt3: relaxed, PBE.

Computed properties:
* volume: 181 Å³ per cell
* total energy: -7.1154 eV/atom
* DOS at the Fermi energy: 1.80 states/eV/atom

Cell: 4.1073 4.1073 10.7411 Å, 90.00 90.00 90.00°
Space group P-4m2 (No. 115)
Inequivalent atoms, fractional coordinates:
U1 0.0000 0.5000 0.2357 x2
Co1 0.5000 0.5000 0.0000 x1
Ge1 0.0000 0.0000 0.5000 x1
Ge2 0.0000 0.5000 0.8728 x2
Ge3 0.5000 0.5000 0.5000 x1
Pt1 0.0000 0.0000 0.0000 x1
Pt2 0.0000 0.5000 0.6445 x2

---

ZnCoGePt: relaxed, PBE.

Computed properties:
* volume: 222 Å³ per cell
* total energy: -4.9618 eV/atom
* DOS at the Fermi energy: 0.37 states/eV/atom

Cell: 6.0512 6.0512 6.0512 Å, 90.00 90.00 90.00°
Space group F-43m (No. 216)
Inequivalent atoms, fractional coordinates:
Zn1 0.0000 0.0000 0.0000 x4
Co1 0.2500 0.2500 0.7500 x4
Ge1 0.0000 0.0000 0.5000 x4
Pt1 0.2500 0.2500 0.2500 x4